Entry from the Alexandria database: crystalline Ho2Ga5Ag3 at its relaxed geometry (PBE).

Cell lengths 5.988, 8.681, 8.681 Å; angles 79.37, 69.82, 69.82 degrees
Element x y z (fractional)
Ho  0.124  0.621  0.130
Ho  0.624  0.130  0.621
Ho  0.876  0.379  0.870
Ho  0.376  0.870  0.379
Ga  0.379  0.266  0.975
Ga  0.879  0.975  0.266
Ga  0.621  0.734  0.025
Ga  0.121  0.025  0.734
Ga  0.489  0.761  0.761
Ga  0.511  0.239  0.239
Ga  0.750  0.500  0.500
Ga  0.250  0.500  0.500
Ga  0.011  0.239  0.239
Ga  0.989  0.761  0.761
Ag  0.369  0.499  0.763
Ag  0.869  0.763  0.499
Ag  0.631  0.501  0.237
Ag  0.131  0.237  0.501
Ag  0.250  0.000  0.000
Ag  0.750  0.000  0.000

Summary:
Space-group type: Ibam, No. 72
Energy of formation from the pure elements, eV/f.u.: -3.41